Entry 1:
Material: Zr3Te
Method: DFT, PBE
State: relaxed

Summary:
As for the uncorrected energy: -7.5139 eV per atom.

Lattice parameters (Å, degrees): 6.0477 11.1750 5.3897 90.00 90.00 90.00
Space group Cmcm (No. 63)
Unique sites:
1 Zr 0.0000 0.0842 0.2500 (multiplicity 4)
2 Zr 0.2495 0.3380 0.2500 (multiplicity 8)
3 Te 0.0000 0.4016 0.7500 (multiplicity 4)


Entry 2:
Material: La2Si3Ir
Method: DFT, PBE
State: relaxed

Summary:
As for the uncorrected energy: -6.7430 eV per atom.

Lattice parameters (Å, degrees): 8.3299 8.7133 14.3814 90.00 90.00 90.00
Space group Fmmm (No. 69)
Unique sites:
1 La 0.0000 0.2465 0.0000 (multiplicity 8)
2 La 0.2500 0.2500 0.2500 (multiplicity 8)
3 Si 0.0000 0.0000 0.3331 (multiplicity 8)
4 Si 0.2489 0.0000 0.4164 (multiplicity 16)
5 Ir 0.0000 0.0000 0.1663 (multiplicity 8)


Entry 3:
Material: YLu
Method: DFT, PBE
State: relaxed

Summary:
The value obtained for the energy relative to the elements is 78 kJ per mole of atoms. The calculation puts the energy above the most stable polymorph in this dataset at 0.801 eV per atom.

Lattice parameters (Å, degrees): 6.4474 6.4474 6.4474 90.00 90.00 90.00
Space group Fm-3m (No. 225)
Unique sites:
1 Y 0.0000 0.0000 0.0000 (multiplicity 4)
2 Lu 0.0000 0.0000 0.5000 (multiplicity 4)


Entry 4:
Material: ScZnIn
Method: DFT, PBE
State: relaxed

Summary:
As for the uncorrected energy: -3.7961 eV per atom.

Lattice parameters (Å, degrees): 4.5933 6.6337 7.9670 90.00 90.00 90.00
Space group Imm2 (No. 44)
Unique sites:
1 Sc 0.0000 0.0000 0.0000 (multiplicity 2)
2 Sc 0.0000 0.5000 0.0032 (multiplicity 2)
3 Zn 0.0000 0.2226 0.6689 (multiplicity 4)
4 In 0.0000 0.2431 0.3350 (multiplicity 4)


Entry 5:
Material: Ta4GaNi
Method: DFT, PBE
State: relaxed

Summary:
The calculation puts the energy above the most stable polymorph in this dataset at 0.029 eV per atom.

Lattice parameters (Å, degrees): 6.2690 6.2690 5.0042 90.00 90.00 90.00
Space group I422 (No. 97)
Unique sites:
1 Ta 0.1562 0.3438 0.2500 (multiplicity 8)
2 Ga 0.0000 0.0000 0.0000 (multiplicity 2)
3 Ni 0.0000 0.0000 0.5000 (multiplicity 2)


Entry 6:
Material: RbCuOsSeS2
Method: DFT, PBE
State: relaxed

Summary:
As for the uncorrected energy: -4.9435 eV per atom.

Lattice parameters (Å, degrees): 3.7196 15.1830 9.5078 90.00 90.00 90.00
Space group Cmcm (No. 63)
Unique sites:
1 Rb 0.0000 0.2326 0.2500 (multiplicity 4)
2 Cu 0.0000 0.4711 0.7500 (multiplicity 4)
3 Os 0.0000 0.0000 0.0000 (multiplicity 4)
4 Se 0.0000 0.0746 0.7500 (multiplicity 4)
5 S 0.0000 0.4019 0.5446 (multiplicity 8)


Entry 7:
Material: HfTlNiHg
Method: DFT, PBE
State: relaxed

Summary:
The calculation puts the energy above the most stable polymorph in this dataset at 0.010 eV per atom.

Lattice parameters (Å, degrees): 6.7236 6.7236 6.7236 90.00 90.00 90.00
Space group F-43m (No. 216)
Unique sites:
1 Hf 0.0000 0.0000 0.0000 (multiplicity 4)
2 Tl 0.2500 0.2500 0.2500 (multiplicity 4)
3 Ni 0.0000 0.0000 0.5000 (multiplicity 4)
4 Hg 0.2500 0.2500 0.7500 (multiplicity 4)


Entry 8:
Material: LiHfSc2
Method: DFT, PBE
State: relaxed

Summary:
As for the uncorrected energy: -5.8065 eV per atom.

Lattice parameters (Å, degrees): 7.0043 7.0043 7.0043 90.00 90.00 90.00
Space group F-43m (No. 216)
Unique sites:
1 Li 0.0000 0.0000 0.0000 (multiplicity 4)
2 Hf 0.2500 0.2500 0.2500 (multiplicity 4)
3 Sc 0.0000 0.0000 0.5000 (multiplicity 4)
4 Sc 0.2500 0.2500 0.7500 (multiplicity 4)


Entry 9:
Material: GaCoSb
Method: DFT, PBE
State: relaxed

Summary:
The calculation puts the energy above the most stable polymorph in this dataset at 0.000 eV per atom.

Lattice parameters (Å, degrees): 5.9448 5.9448 5.9448 90.00 90.00 90.00
Space group F-43m (No. 216)
Unique sites:
1 Ga 0.0000 0.0000 0.0000 (multiplicity 4)
2 Co 0.2500 0.2500 0.2500 (multiplicity 4)
3 Sb 0.0000 0.0000 0.5000 (multiplicity 4)


Entry 10:
Material: DyHoSi2
Method: DFT, PBE
State: relaxed

Summary:
The calculation puts the energy above the most stable polymorph in this dataset at 0.000 eV per atom.

Lattice parameters (Å, degrees): 3.8249 5.6857 7.8817 90.00 90.00 90.00
Space group Pmc2_1 (No. 26)
Unique sites:
1 Dy 0.0000 0.1350 0.0000 (multiplicity 2)
2 Ho 0.5000 0.3650 0.6418 (multiplicity 2)
3 Si 0.0000 0.3791 0.3590 (multiplicity 2)
4 Si 0.5000 0.1210 0.2829 (multiplicity 2)


Entry 11:
Material: RbTl3P2Au2
Method: DFT, PBE
State: relaxed

Summary:
As for the uncorrected energy: -3.2797 eV per atom.

Lattice parameters (Å, degrees): 6.0534 6.6942 6.0843 90.00 110.82 90.00
Space group Pm (No. 6)
Unique sites:
1 Rb 0.0000 0.0000 0.0000 (multiplicity 1)
2 Tl 0.3405 0.5000 0.3361 (multiplicity 1)
3 Tl 0.3506 0.0000 0.6468 (multiplicity 1)
4 Tl 0.6667 0.5000 0.9739 (multiplicity 1)
5 P 0.1183 0.5000 0.7106 (multiplicity 1)
6 P 0.5786 0.0000 0.2635 (multiplicity 1)
7 Au 0.8554 0.2526 0.4671 (multiplicity 2)


Entry 12:
Material: Y4CoAuN2
Method: DFT, PBE
State: relaxed

Summary:
The calculation puts the energy above the most stable polymorph in this dataset at 0.000 eV per atom.

Lattice parameters (Å, degrees): 3.5082 3.5082 13.9405 90.00 90.00 120.00
Space group P-6m2 (No. 187)
Unique sites:
1 Y 0.0000 0.0000 0.1392 (multiplicity 2)
2 Y 0.6667 0.3333 0.3372 (multiplicity 2)
3 Co 0.6667 0.3333 0.0000 (multiplicity 1)
4 Au 0.0000 0.0000 0.5000 (multiplicity 1)
5 N 0.3333 0.6667 0.2428 (multiplicity 2)